[1]
Th4B2Te5: relaxed, PBE.

a = 4.2963 Å, b = 8.2965 Å, c = 18.6793 Å
α = 90.00°, β = 90.00°, γ = 90.00°
Last column: nearest neighbours and their distance in Å.
Space group Immm (No. 71)
Inequivalent atoms, fractional coordinates:
Th 0.0000 0.0000 0.1851  1 B 2.67
Th 0.0000 0.2898 0.5000  4 B 2.88, 2 Te 3.15
B 0.0000 0.0000 0.0424  1 B 1.58
Te 0.0000 0.2235 0.3341  4 Th 3.15-3.34
Te 0.0000 0.5000 0.0000  4 Th 3.22

Calculated values
**Crystal system**: orthorhombic
**Total magnetization**: 0.00 μB per cell
**Formation energy (no corrections)**: -0.8551 eV per atom

[2]
ErAlC: relaxed, PBE.

a = 3.4037 Å, b = 3.4037 Å, c = 4.9562 Å
α = 90.00°, β = 90.00°, γ = 120.00°
Last column: nearest neighbours and their distance in Å.
Space group P3m1 (No. 156)
Inequivalent atoms, fractional coordinates:
Er 0.0000 0.0000 0.0000  3 C 2.39
Al 0.6667 0.3333 0.5359  3 C 2.18
C 0.3333 0.6667 0.7250  3 Al 2.18, 3 Er 2.39

Calculated values
**Energy of formation from the pure elements**: -0.275 eV per atom
**Crystal system**: trigonal
**Distance to the lowest polymorph of the same formula**: 83 meV/atom
**Total magnetization**: 0.00 μB per cell

[3]
YZn4Ni2: relaxed, PBE.

a = 7.3939 Å, b = 7.3939 Å, c = 5.1211 Å
α = 90.00°, β = 90.00°, γ = 90.00°
Last column: nearest neighbours and their distance in Å.
Space group I4/mmm (No. 139)
Inequivalent atoms, fractional coordinates:
Y 0.0000 0.0000 0.0000  8 Zn 3.11
Zn 0.0000 0.2393 0.5000  2 Ni 2.31, 2 Zn 2.50
Ni 0.0000 0.5000 0.2500  4 Zn 2.31, 2 Ni 2.56

Calculated values
**Energy of formation from the pure elements**: 0.180 eV per atom
**Crystal system**: tetragonal
**Distance to the lowest polymorph of the same formula**: 462 meV/atom
**Total magnetization**: 0.00 μB per cell